This record from Alexandria describes NaI2Cl2 after structural relaxation. The functional is PBE.

Its density of states at the Fermi level is 0.408 states/eV per atom.

The space group is P4/mbm (No. 127) and the conventional cell measures 7.793, 7.793 and 6.021 Å, with angles of 90.00, 90.00 and 90.00 degrees. The asymmetric unit holds Na at (0.000, 0.000, 0.000), I at (0.121, 0.379, 0.500) and Cl at (0.227, 0.273, 0.000).

---

This record from Alexandria describes Na2ICl5 after structural relaxation. The functional is PBE.

Its density of states at the Fermi level is 0.000 states/eV per atom.

The space group is P2_1/c (No. 14) and the conventional cell measures 14.502, 7.823 and 9.836 Å, with angles of 90.00, 105.30 and 90.00 degrees. The asymmetric unit holds Na at (0.007, 0.127, 0.170), Na at (0.245, 0.143, 0.978), I at (0.305, 0.634, 0.933), Cl at (0.048, 0.195, 0.918), Cl at (0.198, 0.634, 0.285), Cl at (0.217, 0.100, 0.256), Cl at (0.392, 0.640, 0.591) and Cl at (0.396, 0.103, 0.579).

---

This record from Alexandria describes Na4ICl3 after structural relaxation. The functional is PBE.

Its density of states at the Fermi level is 0.000 states/eV per atom.

The space group is P2/c (No. 13) and the conventional cell measures 7.243, 8.413 and 7.259 Å, with angles of 90.00, 109.73 and 90.00 degrees. The asymmetric unit holds Na at (0.224, 0.142, 0.005), Na at (0.248, 0.390, 0.483), I at (0.500, 0.127, 0.750), Cl at (0.000, 0.135, 0.250), Cl at (0.000, 0.379, 0.750) and Cl at (0.500, 0.381, 0.250).

---

This record from Alexandria describes Na3ICl2 after structural relaxation. The functional is PBE.

Its density of states at the Fermi level is 0.000 states/eV per atom.

The space group is Cmcm (No. 63) and the conventional cell measures 4.416, 17.335 and 11.127 Å, with angles of 90.00, 90.00 and 90.00 degrees. The asymmetric unit holds Na at (0.000, 0.010, 0.250), Na at (0.000, 0.397, 0.014), I at (0.000, 0.346, 0.750), Cl at (0.000, 0.000, 0.000) and Cl at (0.000, 0.407, 0.250).

---

This record from Alexandria describes Na2I2Cl7 after structural relaxation. The functional is PBE.

Its density of states at the Fermi level is 0.194 states/eV per atom.

The space group is P2_1/c (No. 14) and the conventional cell measures 7.260, 13.226 and 7.937 Å, with angles of 90.00, 102.18 and 90.00 degrees. The asymmetric unit holds Na at (0.225, 0.229, 0.448), I at (0.290, 0.577, 0.214), Cl at (0.010, 0.660, 0.354), Cl at (0.119, 0.089, 0.694), Cl at (0.482, 0.740, 0.242) and Cl at (0.500, 0.000, 0.500).

---

This record from Alexandria describes NaICl5 after structural relaxation. The functional is PBE.

The space group is C2/c (No. 15) and the conventional cell measures 9.933, 9.545 and 10.217 Å, with angles of 90.00, 110.40 and 90.00 degrees. The asymmetric unit holds Na at (0.000, 0.053, 0.250), I at (0.250, 0.250, 0.000), Cl at (0.000, 0.247, 0.750), Cl at (0.095, 0.299, 0.142) and Cl at (0.210, 0.008, 0.518).

---

This record from Alexandria describes Na3ICl after structural relaxation. The functional is PBE.

Its density of states at the Fermi level is 0.333 states/eV per atom.

The space group is Pm-3m (No. 221) and the conventional cell measures 6.056, 6.056 and 6.056 Å, with angles of 90.00, 90.00 and 90.00 degrees. The asymmetric unit holds Na at (0.000, 0.000, 0.500), I at (0.000, 0.000, 0.000) and Cl at (0.500, 0.500, 0.500).

---

This record from Alexandria describes Na3ICl4 after structural relaxation. The functional is PBE.

Its density of states at the Fermi level is 0.000 states/eV per atom.

The space group is Pmn2_1 (No. 31) and the conventional cell measures 8.798, 8.455 and 7.491 Å, with angles of 90.00, 90.00 and 90.00 degrees. The asymmetric unit holds Na at (0.000, 0.137, 0.000), Na at (0.247, 0.696, 0.037), I at (0.000, 0.649, 0.639), Cl at (0.000, 0.173, 0.652), Cl at (0.000, 0.851, 0.131) and Cl at (0.207, 0.368, 0.155).

---

Number 1: raw formation energy -0.4877 eV per atom. Number 2: raw formation energy -0.9766 eV per atom. Number 3: raw formation energy -1.6423 eV per atom. Number 4: raw formation energy -1.5069 eV per atom. Number 5: raw formation energy -0.6992 eV per atom. Number 6: raw formation energy -0.5942 eV per atom. Number 7: raw formation energy -0.7208 eV per atom. Number 8: raw formation energy -1.2847 eV per atom.